{"formula": "TaMoPO2", "functional": "PBE+U", "state": "optimized geometry", "sg": "P4/mmm, No. 123", "total_energy_ev_per_atom": -8.0925, "cell": [[-1.6722, 3.5214, -0.1638], [-1.9610, -0.7786, 3.2820], [4.0143, 2.0402, 2.8825]], "species": ["Ta", "O", "O", "Mo", "P"], "frac_coords": [[0.0000, 0.0000, 0.0000], [0.0000, 0.5000, 0.0000], [0.5000, 0.0000, 0.0000], [0.5000, 0.5000, 0.5000], [0.0000, 0.0000, 0.5000]]}